VASP calculation (PBE) on crystalline Ho2TmBi4 at its relaxed geometry.

Unit cell a=6.0517 b=6.0517 c=17.0205 alpha=90.00 beta=90.00 gamma=136.59
With the nearest neighbours (Å) after each atom.
Atoms (fractional coordinates):
Ho: 0.1614 0.8386 0.5740  5 Bi 3.00-3.22
Ho: 0.1614 0.8386 0.9260  5 Bi 3.00-3.22
Ho: 0.8386 0.1614 0.0740  5 Bi 3.00-3.22
Ho: 0.8386 0.1614 0.4260  5 Bi 3.00-3.22
Tm: 0.4437 0.5563 0.7500  7 Bi 3.23-3.29
Tm: 0.5563 0.4437 0.2500  7 Bi 3.23-3.29
Bi: 0.1470 0.8530 0.1233  4 Ho 3.22-3.57, 2 Tm 3.27, 2 Bi 3.49
Bi: 0.1470 0.8530 0.3767  4 Ho 3.22-3.57, 2 Tm 3.27, 2 Bi 3.49
Bi: 0.1511 0.8489 0.7500  2 Ho 3.00, 3 Tm 3.23-3.29
Bi: 0.5000 0.5000 0.0000  4 Ho 3.14, 4 Bi 3.49
Bi: 0.5000 0.5000 0.5000  4 Ho 3.14, 4 Bi 3.49
Bi: 0.8489 0.1511 0.2500  2 Ho 3.00, 3 Tm 3.23-3.29
Bi: 0.8530 0.1470 0.6233  4 Ho 3.22-3.57, 2 Tm 3.27, 2 Bi 3.49
Bi: 0.8530 0.1470 0.8767  4 Ho 3.22-3.57, 2 Tm 3.27, 2 Bi 3.49

Values from the calculation:
N(E_F): 6.35 states/eV/cell
Mass density: 10.348 g/cm3
Calculated total energy: -4.713 eV/atom
Energy of formation: -53.0 kJ/mol of atoms


VASP calculation (PBE) on crystalline TiRe2As4 at its relaxed geometry.

Unit cell a=6.9038 b=6.9038 c=6.3474 alpha=113.51 beta=113.51 gamma=26.53
With the nearest neighbours (Å) after each atom.
Atoms (fractional coordinates):
Ti: 0.0000 0.0000 0.0000  6 As 2.57-2.61
Re: 0.2551 0.2551 0.3180  6 As 2.50-2.64
Re: 0.7449 0.7449 0.6820  6 As 2.50-2.64
As: 0.0985 0.0985 0.4430  3 Re 2.50-2.54, 1 Ti 2.57
As: 0.3532 0.3532 0.0359  2 Ti 2.61, 3 Re 2.62-2.64
As: 0.6468 0.6468 0.9641  2 Ti 2.61, 3 Re 2.62-2.64
As: 0.9015 0.9015 0.5570  3 Re 2.50-2.54, 1 Ti 2.57

Values from the calculation:
N(E_F): 4.34 states/eV/cell
Mass density: 9.701 g/cm3
Calculated total energy: -7.592 eV/atom
Energy of formation: -24.2 kJ/mol of atoms